Entry 1:
Entry from the Alexandria database: SrHfMg2Sb after structural relaxation (PBE).

## Properties
D(E_F), states/eV per atom: 0.973
ΔE to the lowest computed polymorph, meV per atom: 0
ΔE_f (raw), eV per formula unit: 1.95
Total moment, Bohr magnetons per cell: 0.12

Unit cell a=5.495 b=5.500 c=5.495 alpha=90.00 beta=90.00 gamma=90.00
Fractional coordinates of all 5 atoms:
Sr 0.500 0.500 0.500
Sb 0.000 0.000 0.000
Mg 0.500 0.000 0.000
Mg 0.000 0.000 0.500
Hf 0.000 0.500 0.000

---

Entry 2:
Entry from the Alexandria database: MgTaIr after structural relaxation (PBE).

## Properties
D(E_F), states/eV per atom: 1.437
Formation enthalpy at 0 K, eV per atom: 0.369
Total moment, Bohr magnetons per cell: 0.00

Unit cell a=4.366 b=4.366 c=4.366 alpha=60.00 beta=60.00 gamma=60.00
Fractional coordinates of all 3 atoms:
Ir 0.000 0.000 0.000
Ta 0.250 0.250 0.250
Mg 0.500 0.500 0.500

---

Entry 3:
Entry from the Alexandria database: LiTlCuPt after structural relaxation (PBE).

## Properties
D(E_F), states/eV per atom: 0.321
Formation enthalpy at 0 K, eV per atom: -0.211
Total moment, Bohr magnetons per cell: 0.00

Unit cell a=4.517 b=4.517 c=4.517 alpha=60.00 beta=60.00 gamma=60.00
Fractional coordinates of all 4 atoms:
Li 0.250 0.250 0.250
Cu 0.000 0.000 0.000
Tl 0.500 0.500 0.500
Pt 0.750 0.750 0.750

---

Entry 4:
Entry from the Alexandria database: Sm3CuTe2 after structural relaxation (PBE).

## Properties
D(E_F), states/eV per atom: 0.788
ΔE_f (raw), eV per formula unit: -5.74
Total moment, Bohr magnetons per cell: 0.00

Unit cell a=7.456 b=7.456 c=7.691 alpha=99.41 beta=99.41 gamma=120.00
Fractional coordinates of all 12 atoms:
Cu 0.002 0.998 0.000
Te 0.833 0.167 0.500
Te 0.333 0.667 0.000
Te 0.176 0.824 0.500
Sm 0.609 0.942 0.774
Cu 0.664 0.336 0.000
Sm 0.412 0.095 0.233
Sm 0.255 0.239 0.767
Sm 0.905 0.588 0.767
Sm 0.058 0.391 0.226
Sm 0.761 0.745 0.233
Te 0.491 0.509 0.500

---

Entry 5:
Entry from the Alexandria database: Si2HgW after structural relaxation (PBE).

## Properties
D(E_F), states/eV per atom: 0.491
ΔE_f (raw), eV per formula unit: 1.85
Total moment, Bohr magnetons per cell: 0.00

Unit cell a=4.331 b=3.473 c=4.966 alpha=69.44 beta=90.00 gamma=90.00
Fractional coordinates of all 4 atoms:
Si 0.500 0.446 0.232
W 0.000 0.316 0.494
Si 0.000 0.023 0.080
Hg 0.500 0.715 0.694

---

Entry 6:
Entry from the Alexandria database: AcSnSb2Pd5 after structural relaxation (PBE).

## Properties
D(E_F), states/eV per atom: 0.612
ΔE_f (raw), eV per formula unit: -4.64
Total moment, Bohr magnetons per cell: 0.00

Unit cell a=4.350 b=4.350 c=11.361 alpha=90.00 beta=90.00 gamma=90.00
Fractional coordinates of all 9 atoms:
Sb 0.500 0.500 0.726
Pd 0.500 0.000 0.859
Pd 0.500 0.500 0.500
Sb 0.500 0.500 0.274
Pd 0.000 0.500 0.141
Pd 0.500 0.000 0.141
Sn 0.000 0.000 0.000
Ac 0.000 0.000 0.500
Pd 0.000 0.500 0.859

---

Entry 7:
Entry from the Alexandria database: Ac2PtRh after structural relaxation (PBE).

## Properties
D(E_F), states/eV per atom: 0.599
Formation enthalpy at 0 K, eV per atom: -0.919
Total moment, Bohr magnetons per cell: 0.00

Unit cell a=4.488 b=6.183 c=8.312 alpha=109.80 beta=90.00 gamma=90.00
Fractional coordinates of all 8 atoms:
Ac 0.750 0.228 0.435
Pt 0.750 0.674 0.795
Rh 0.750 0.683 0.295
Ac 0.750 0.228 0.928
Ac 0.250 0.772 0.072
Rh 0.250 0.317 0.705
Ac 0.250 0.772 0.565
Pt 0.250 0.326 0.205

---

Entry 8:
Entry from the Alexandria database: CaDyAlHg after structural relaxation (PBE).

## Properties
D(E_F), states/eV per atom: 0.481
ΔE to the lowest computed polymorph, meV per atom: 23
Formation enthalpy at 0 K, eV per atom: -0.389
Total moment, Bohr magnetons per cell: 0.00

Unit cell a=5.248 b=5.248 c=5.248 alpha=60.00 beta=60.00 gamma=60.00
Fractional coordinates of all 4 atoms:
Ca 0.250 0.250 0.250
Hg 0.000 0.000 0.000
Al 0.500 0.500 0.500
Dy 0.750 0.750 0.750

---

Entry 9:
Entry from the Alexandria database: Ba3Ag9Hg2 after structural relaxation (PBE).

## Properties
D(E_F), states/eV per atom: 0.313
Formation enthalpy at 0 K, eV per atom: -0.209
Total moment, Bohr magnetons per cell: 0.00

Unit cell a=4.947 b=9.186 c=9.186 alpha=66.52 beta=74.38 gamma=74.38
Fractional coordinates of all 14 atoms:
Ba 0.694 0.306 0.306
Ag 0.870 0.850 0.410
Ba 0.000 0.000 0.000
Ag 0.326 0.030 0.318
Ag 0.326 0.318 0.030
Ag 0.000 0.500 0.500
Ag 0.674 0.970 0.682
Ag 0.674 0.682 0.970
Hg 0.500 0.289 0.711
Ba 0.306 0.694 0.694
Ag 0.130 0.590 0.150
Ag 0.870 0.410 0.850
Ag 0.130 0.150 0.590
Hg 0.500 0.711 0.289

---

Entry 10:
Entry from the Alexandria database: Rb3HfU2Se6 after structural relaxation (PBE).

## Properties
D(E_F), states/eV per atom: 0.707
ΔE_f (raw), eV per formula unit: -14.53
Total moment, Bohr magnetons per cell: 6.89

Unit cell a=7.156 b=7.156 c=8.435 alpha=98.15 beta=98.15 gamma=120.00
Fractional coordinates of all 12 atoms:
Hf 0.000 0.000 0.000
Se 0.619 0.935 0.804
Se 0.250 0.250 0.803
Se 0.065 0.381 0.196
U 0.334 0.666 0.000
Se 0.381 0.065 0.196
Se 0.935 0.619 0.804
Rb 0.830 0.170 0.500
Rb 0.170 0.830 0.500
Rb 0.500 0.500 0.500
U 0.666 0.334 0.000
Se 0.750 0.750 0.197

---

Entry 11:
Entry from the Alexandria database: HgMoIr2 after structural relaxation (PBE).

## Properties
D(E_F), states/eV per atom: 1.235
Formation enthalpy at 0 K, eV per atom: 0.271
Total moment, Bohr magnetons per cell: 0.00

Unit cell a=2.822 b=2.822 c=8.166 alpha=90.00 beta=90.00 gamma=90.00
Fractional coordinates of all 4 atoms:
Hg 0.500 0.500 0.754
Mo 0.000 0.000 0.476
Ir 0.000 0.000 0.017
Ir 0.500 0.500 0.253

---

Entry 12:
Entry from the Alexandria database: KMo2Se2 after structural relaxation (PBE).

## Properties
D(E_F), states/eV per atom: 0.772
ΔE to the lowest computed polymorph, meV per atom: 0
ΔE_f (raw), eV per formula unit: -1.84
Total moment, Bohr magnetons per cell: 0.00

Unit cell a=3.961 b=3.961 c=7.783 alpha=75.26 beta=75.26 gamma=90.00
Fractional coordinates of all 5 atoms:
Se 0.364 0.364 0.273
K 0.000 0.000 0.000
Mo 0.750 0.250 0.500
Se 0.636 0.636 0.727
Mo 0.250 0.750 0.500